Entry 1:
The following is a PBE calculation of crystalline Ce3Si2I2 at its relaxed geometry, from Alexandria.

a b c (Å): 4.230 7.388 7.941
angles (deg): 98.11 90.00 106.63
Atoms (fractional coordinates):
Ce: 0.000 0.000 0.000
Ce: 0.761 0.523 0.221
Ce: 0.239 0.477 0.779
Si: 0.627 0.255 0.912
Si: 0.373 0.745 0.088
I: 0.879 0.757 0.616
I: 0.121 0.243 0.384

Output
V: 33.60 A^3/atom
Symmetry: C2/m, No. 12
Energy: -36.52 eV for the cell shown
Uncorrected formation energy: -0.681 eV per atom

Entry 2:
The following is a PBE calculation of crystalline Ce2SiI at its relaxed geometry, from Alexandria.

a b c (Å): 4.308 4.308 7.845
angles (deg): 90.00 105.93 120.00
Atoms (fractional coordinates):
Ce: 0.494 0.988 0.258
Ce: 0.552 0.517 0.846
Si: 0.023 0.253 0.052
I: 0.023 0.753 0.552

Output
V: 29.89 A^3/atom
Symmetry: R-3m, No. 166
Energy: -22.02 eV for the cell shown
Uncorrected formation energy: -0.794 eV per atom

Entry 3:
The following is a PBE calculation of crystalline Ce3SiI3 at its relaxed geometry, from Alexandria.

a b c (Å): 4.305 9.010 12.454
angles (deg): 89.97 90.00 90.00
Atoms (fractional coordinates):
Ce: 0.250 0.336 0.619
Ce: 0.750 0.664 0.381
Ce: 0.250 0.899 0.614
Ce: 0.750 0.101 0.386
Ce: 0.250 0.881 0.150
Ce: 0.750 0.119 0.850
Si: 0.250 0.879 0.379
Si: 0.750 0.121 0.621
I: 0.250 0.381 0.360
I: 0.750 0.619 0.640
I: 0.250 0.854 0.880
I: 0.750 0.146 0.120
I: 0.250 0.379 0.876
I: 0.750 0.621 0.124

Output
V: 34.50 A^3/atom
Symmetry: P2_1/m, No. 11
Energy: -70.13 eV for the cell shown
Uncorrected formation energy: -1.027 eV per atom

Entry 4:
The following is a PBE calculation of crystalline Ce2SiI2 at its relaxed geometry, from Alexandria.

a b c (Å): 4.148 7.620 11.314
angles (deg): 90.00 90.00 105.79
Atoms (fractional coordinates):
Ce: 0.232 0.464 0.144
Ce: 0.043 0.085 0.902
Ce: 0.768 0.536 0.644
Ce: 0.957 0.915 0.402
Si: 0.659 0.318 0.983
Si: 0.341 0.682 0.483
I: 0.906 0.812 0.131
I: 0.374 0.748 0.826
I: 0.094 0.188 0.631
I: 0.626 0.252 0.326

Output
V: 34.41 A^3/atom
Symmetry: Cmc2_1, No. 36
Energy: -47.90 eV for the cell shown
Uncorrected formation energy: -0.712 eV per atom

Entry 5:
The following is a PBE calculation of crystalline Ce2SiI3 at its relaxed geometry, from Alexandria.

a b c (Å): 4.678 9.978 10.954
angles (deg): 72.04 77.67 76.44
Atoms (fractional coordinates):
Ce: 0.868 0.483 0.780
Ce: 0.132 0.517 0.220
Ce: 0.609 0.216 0.566
Ce: 0.391 0.784 0.434
Si: 0.446 0.498 0.611
Si: 0.554 0.502 0.389
I: 0.040 0.139 0.781
I: 0.960 0.861 0.219
I: 0.665 0.669 0.002
I: 0.335 0.331 0.998
I: 0.765 0.842 0.627
I: 0.235 0.158 0.373

Output
V: 38.94 A^3/atom
Symmetry: C2/m, No. 12
Energy: -55.62 eV for the cell shown
Uncorrected formation energy: -0.978 eV per atom

Entry 6:
The following is a PBE calculation of crystalline Ce3SiI2 at its relaxed geometry, from Alexandria.

a b c (Å): 7.602 7.587 7.787
angles (deg): 80.68 71.13 59.93
Atoms (fractional coordinates):
Ce: 0.430 0.643 0.782
Ce: 0.289 0.000 0.208
Ce: 0.570 0.357 0.218
Ce: 0.926 0.643 0.218
Ce: 0.074 0.357 0.782
Ce: 0.711 0.000 0.792
Si: 0.669 0.662 0.000
Si: 0.331 0.338 0.000
I: 0.000 0.000 0.000
I: 0.500 0.000 0.500
I: 0.157 0.686 0.500
I: 0.843 0.314 0.500

Output
V: 30.65 A^3/atom
Symmetry: C2/m, No. 12
Energy: -62.28 eV for the cell shown
Uncorrected formation energy: -0.803 eV per atom

Entry 7:
The following is a PBE calculation of crystalline Ce3SiI3 at its relaxed geometry, from Alexandria.

a b c (Å): 10.755 10.755 10.755
angles (deg): 109.47 109.47 109.47
Atoms (fractional coordinates):
Ce: 0.469 0.485 0.235
Ce: 0.750 0.235 0.265
Ce: 0.750 0.015 0.485
Ce: 0.235 0.469 0.485
Ce: 0.265 0.750 0.235
Ce: 0.031 0.265 0.015
Ce: 0.015 0.031 0.265
Ce: 0.485 0.750 0.015
Ce: 0.485 0.235 0.469
Ce: 0.015 0.485 0.750
Ce: 0.265 0.015 0.031
Ce: 0.235 0.265 0.750
Si: 0.250 0.250 0.250
Si: 0.500 0.000 0.250
Si: 0.000 0.250 0.500
Si: 0.250 0.500 0.000
I: 0.250 0.759 0.741
I: 0.517 0.509 0.759
I: 0.983 0.741 0.991
I: 0.741 0.250 0.759
I: 0.991 0.983 0.741
I: 0.250 0.991 0.509
I: 0.759 0.517 0.509
I: 0.509 0.250 0.991
I: 0.759 0.741 0.250
I: 0.741 0.991 0.983
I: 0.991 0.509 0.250
I: 0.509 0.759 0.517

Output
V: 34.20 A^3/atom
Symmetry: I4_132, No. 214
Energy: -140.67 eV for the cell shown
Uncorrected formation energy: -1.042 eV per atom

Entry 8:
The following is a PBE calculation of crystalline Ce2SmI6 at its relaxed geometry, from Alexandria.

a b c (Å): 4.225 9.187 11.001
angles (deg): 112.71 90.00 103.29
Atoms (fractional coordinates):
Ce: 0.676 0.352 0.847
Ce: 0.324 0.648 0.153
Sm: 0.000 0.000 0.500
I: 0.313 0.625 0.855
I: 0.687 0.375 0.145
I: 0.970 0.941 0.199
I: 0.637 0.274 0.531
I: 0.030 0.059 0.801
I: 0.363 0.726 0.469

Output
V: 42.38 A^3/atom
Symmetry: C2/m, No. 12
Energy: -37.09 eV for the cell shown
Uncorrected formation energy: -1.245 eV per atom

Entry 9:
The following is a PBE calculation of crystalline CeSmI5 at its relaxed geometry, from Alexandria.

a b c (Å): 4.313 9.357 14.994
angles (deg): 94.42 90.00 90.00
Atoms (fractional coordinates):
Ce: 0.750 0.098 0.150
Ce: 0.250 0.902 0.850
Sm: 0.250 0.415 0.344
Sm: 0.750 0.585 0.656
I: 0.250 0.070 0.310
I: 0.750 0.142 0.929
I: 0.750 0.321 0.484
I: 0.250 0.352 0.130
I: 0.250 0.367 0.711
I: 0.750 0.633 0.289
I: 0.750 0.648 0.870
I: 0.250 0.679 0.516
I: 0.250 0.858 0.071
I: 0.750 0.930 0.690

Output
V: 43.09 A^3/atom
Symmetry: P2_1/m, No. 11
Energy: -55.66 eV for the cell shown
Uncorrected formation energy: -1.346 eV per atom

Entry 10:
The following is a PBE calculation of crystalline CeSmI at its relaxed geometry, from Alexandria.

a b c (Å): 3.741 5.460 5.460
angles (deg): 120.00 90.00 90.00
Atoms (fractional coordinates):
I: 0.499 0.333 0.667
Ce: 0.001 0.000 0.000
Sm: 0.500 0.667 0.333

Output
V: 32.19 A^3/atom
Symmetry: P3m1, No. 156
Energy: -12.65 eV for the cell shown
Uncorrected formation energy: -0.150 eV per atom

Entry 11:
The following is a PBE calculation of crystalline CeSmI at its relaxed geometry, from Alexandria.

a b c (Å): 5.611 3.947 12.931
angles (deg): 90.46 90.00 135.29
Atoms (fractional coordinates):
Sm: 0.253 0.505 0.766
Sm: 0.747 0.495 0.234
Ce: 0.300 0.599 0.057
Ce: 0.700 0.401 0.943
I: 0.248 0.495 0.361
I: 0.752 0.505 0.639

Output
V: 33.58 A^3/atom
Symmetry: C2/m, No. 12
Energy: -27.56 eV for the cell shown
Uncorrected formation energy: -0.526 eV per atom

Entry 12:
The following is a PBE calculation of crystalline Ce2SmI6 at its relaxed geometry, from Alexandria.

a b c (Å): 7.781 7.781 8.670
angles (deg): 63.34 63.34 60.00
Atoms (fractional coordinates):
Ce: 0.684 0.684 0.948
Ce: 0.518 0.518 0.445
Sm: 0.355 0.355 0.935
I: 0.775 0.422 0.698
I: 0.105 0.775 0.698
I: 0.422 0.105 0.698
I: 0.264 0.598 0.194
I: 0.944 0.264 0.194
I: 0.598 0.944 0.194

Output
V: 43.19 A^3/atom
Symmetry: R3, No. 146
Energy: -36.57 eV for the cell shown
Uncorrected formation energy: -1.187 eV per atom

Number 1: density of states at the Fermi level 2.213 states/eV/atom. Number 2: density of states at the Fermi level 3.192 states/eV/atom. Number 3: density of states at the Fermi level 2.762 states/eV/atom. Number 4: density of states at the Fermi level 2.677 states/eV/atom. Number 5: density of states at the Fermi level 2.394 states/eV/atom. Number 6: density of states at the Fermi level 3.422 states/eV/atom. Number 7: density of states at the Fermi level 2.816 states/eV/atom. Number 8: density of states at the Fermi level 1.649 states/eV/atom. Number 9: density of states at the Fermi level 0.853 states/eV/atom. Number 10: density of states at the Fermi level 2.380 states/eV/atom. Number 11: density of states at the Fermi level 1.788 states/eV/atom. Number 12: density of states at the Fermi level 1.764 states/eV/atom.